1.
Sr2LiHg2 | PBE | optimized geometry

Unit cell a=6.407 b=6.407 c=8.474 alpha=90.00 beta=90.00 gamma=90.00
Space group I4/mmm (No. 139)
Symmetry-distinct sites (fractional):
Sr1 0.000 0.500 0.250 (multiplicity 4)
Li1 0.000 0.000 0.000 (multiplicity 2)
Hg1 0.000 0.000 0.332 (multiplicity 4)

Summary:
As for the total energy: -14.54 eV for the cell shown. The value obtained for the calculated formation energy is -0.278 eV per atom.

2.
Sr2LiHg | PBE | optimized geometry

Unit cell a=4.002 b=4.002 c=19.168 alpha=90.00 beta=90.00 gamma=90.00
Space group I4/mmm (No. 139)
Symmetry-distinct sites (fractional):
Sr1 0.000 0.000 0.167 (multiplicity 4)
Li1 0.000 0.000 0.500 (multiplicity 2)
Hg1 0.000 0.000 0.000 (multiplicity 2)

Summary:
As for the total energy: -12.10 eV for the cell shown. The value obtained for the calculated formation energy is -0.118 eV per atom.

3.
Sr3Li3Hg8 | PBE | optimized geometry

Unit cell a=4.799 b=10.462 c=14.697 alpha=90.00 beta=90.00 gamma=90.00
Space group Immm (No. 71)
Symmetry-distinct sites (fractional):
Sr1 0.000 0.000 0.000 (multiplicity 2)
Sr2 0.000 0.000 0.288 (multiplicity 4)
Li1 0.000 0.192 0.500 (multiplicity 4)
Li2 0.000 0.500 0.000 (multiplicity 2)
Hg1 0.000 0.306 0.122 (multiplicity 8)
Hg2 0.000 0.355 0.345 (multiplicity 8)

Summary:
As for the total energy: -37.92 eV for the cell shown. The value obtained for the calculated formation energy is -0.411 eV per atom.

4.
Sr2LiHg2 | PBE | optimized geometry

Unit cell a=4.441 b=4.441 c=18.452 alpha=90.00 beta=90.00 gamma=90.00
Space group I4/mmm (No. 139)
Symmetry-distinct sites (fractional):
Sr1 0.000 0.000 0.111 (multiplicity 4)
Li1 0.000 0.000 0.500 (multiplicity 2)
Hg1 0.000 0.500 0.250 (multiplicity 4)

Summary:
As for the total energy: -13.46 eV for the cell shown. The value obtained for the calculated formation energy is -0.170 eV per atom.